Sm3InHg after structural relaxation. Source: Alexandria via LeMat-Bulk, functional PBE.

The structure in CIF format:
```
data_Sm3InHg
_chemical_formula_sum 'Sm12 In4 Hg4'
_cell_length_a 9.6904
_cell_length_b 6.4810
_cell_length_c 9.9495
_cell_angle_alpha 90.00
_cell_angle_beta 105.54
_cell_angle_gamma 90.00
_space_group_name_H-M_alt 'P 1 21/c 1'
_space_group_IT_number 14
loop_
_space_group_symop_operation_xyz
'x,y,z'
'-x,-y,-z'
'-x,y+1/2,-z+1/2'
'x,-y+1/2,z+1/2'
loop_
_atom_site_label
_atom_site_fract_x
_atom_site_fract_y
_atom_site_fract_z
Sm1 0.0171 0.0176 0.2533
Sm2 0.2443 0.2491 0.5672
Sm3 0.3628 0.6711 0.3441
In1 0.1389 0.7492 0.0357
Hg1 0.4438 0.1559 0.3676
```

---

Pm9NdTm2 after structural relaxation. Source: Alexandria via LeMat-Bulk, functional PBE.

The structure in CIF format:
```
data_Pm9NdTm2
_chemical_formula_sum 'Pm9 Nd1 Tm2'
_cell_length_a 5.1252
_cell_length_b 5.1252
_cell_length_c 15.3753
_cell_angle_alpha 90.00
_cell_angle_beta 90.00
_cell_angle_gamma 90.00
_space_group_name_H-M_alt 'P 4/m m m'
_space_group_IT_number 123
_space_group_name_Hall '-P 4 2'
loop_
_atom_site_label
_atom_site_fract_x
_atom_site_fract_y
_atom_site_fract_z
Pm1 0.0000 0.0000 0.0000
Pm2 0.0000 0.0000 0.3355
Pm3 0.0000 0.5000 0.1693
Pm4 0.0000 0.5000 0.5000
Nd1 0.5000 0.5000 0.0000
Tm1 0.5000 0.5000 0.3348
```

---

| no. | D(E_F) (states/eV per cell) | total magnetization (μB/cell) | ΔH_f (0 K) (eV/atom) |
| --- | --- | --- | --- |
| 1 | 24.34 | 0.0 | -0.304 |
| 2 | 19.58 | 0.0 | 0.018 |